Below is crystalline Cr2InAs at its relaxed geometry, with properties calculated at the PBE level.

Structure (POSCAR):
```
Cr2InAs
1.0
-1.009 2.769 0.489
-0.159 -0.574 2.928
7.130 2.446 0.866
As In Cr
1 1 2
direct
0.500 0.500 0.834
0.000 0.000 0.442
0.000 0.000 0.031
0.500 0.500 0.192
```

SG   P4mm, No. 99
Energy above the most stable polymorph in this dataset   0.00 kcal/mol of atoms
Energy relative to the elements   0.146 eV per atom

Below is crystalline TaAgOs at its relaxed geometry, with properties calculated at the PBE level.

Structure (POSCAR):
```
TaAgOs
1.0
7.377 0.008 -0.005
6.654 2.704 0.007
0.723 -0.871 2.552
Ag Os Ta
1 1 1
direct
0.000 0.000 0.000
0.325 0.325 0.675
0.675 0.675 0.325
```

SG   Fmm2, No. 42
Energy above the most stable polymorph in this dataset   4.09 kcal/mol of atoms
Energy relative to the elements   0.346 eV per atom

Below is crystalline CsTlS at its relaxed geometry, with properties calculated at the PBE level.

Structure (POSCAR):
```
CsTlS
1.0
-1.718 -5.520 3.242
4.211 -1.581 -0.461
-1.103 2.471 3.623
Tl Cs S
1 1 1
direct
0.090 0.000 0.000
0.614 0.667 0.333
0.296 0.333 0.667
```

Raw formation energy   -0.704 eV per atom
SG   P3m1, No. 156
Energy above the most stable polymorph in this dataset   0.88 kcal/mol of atoms

Below is crystalline Ti4GeAu at its relaxed geometry, with properties calculated at the PBE level.

Structure (POSCAR):
```
Ti4GeAu
1.0
4.932 -0.007 -0.038
-0.014 6.071 0.470
-2.519 -2.015 7.297
Ti Ge Au
8 2 2
direct
0.687 0.434 0.139
0.313 0.566 0.861
0.544 0.060 0.859
0.280 0.594 0.283
0.014 0.104 0.275
0.456 0.940 0.141
0.720 0.406 0.717
0.986 0.896 0.725
0.118 0.252 0.997
0.882 0.748 0.003
0.000 0.500 0.500
0.500 0.000 0.500
```

SG   P-1, No. 2
Energy relative to the elements   -0.093 eV per atom

Below is crystalline ZrCr2C at its relaxed geometry, with properties calculated at the PBE level.

Structure (POSCAR):
```
ZrCr2C
1.0
5.814 0.000 0.000
0.000 5.814 0.000
2.907 2.907 3.809
Zr C Cr
2 2 4
direct
0.750 0.250 0.500
0.000 0.000 0.000
0.500 0.500 0.000
0.250 0.750 0.500
0.375 0.521 0.750
0.479 0.125 0.250
0.875 0.729 0.750
0.271 0.625 0.250
```

SG   I-42d, No. 122
Energy relative to the elements   0.638 eV per atom

Below is crystalline KAlZn2 at its relaxed geometry, with properties calculated at the PBE level.

Structure (POSCAR):
```
KAlZn2
1.0
-8.789 0.618 4.861
-9.690 -1.298 2.385
-8.315 -2.600 5.036
K Zn Al
1 2 1
direct
0.750 0.750 0.750
0.987 0.987 0.987
0.513 0.513 0.513
0.250 0.250 0.250
```

SG   R-3m, No. 166
Energy relative to the elements   0.329 eV per atom

Below is crystalline Al2WAu at its relaxed geometry, with properties calculated at the PBE level.

Structure (POSCAR):
```
Al2WAu
1.0
9.074 0.005 0.003
8.611 2.861 0.003
8.611 1.396 2.498
Au Al W
1 2 1
direct
0.250 0.250 0.250
0.499 0.499 0.499
0.001 0.001 0.001
0.750 0.750 0.750
```

SG   R-3m, No. 166
Energy above the most stable polymorph in this dataset   1.25 kcal/mol of atoms
Energy relative to the elements   -0.073 eV per atom

Below is crystalline ZrGa2Ir2 at its relaxed geometry, with properties calculated at the PBE level.

Structure (POSCAR):
```
ZrGa2Ir2
1.0
7.494 0.000 0.000
0.000 7.494 0.000
0.000 0.000 2.848
Ir Ga Zr
4 4 2
direct
0.174 0.674 0.500
0.826 0.326 0.500
0.674 0.826 0.500
0.326 0.174 0.500
0.624 0.124 0.000
0.124 0.376 0.000
0.876 0.624 0.000
0.376 0.876 0.000
0.000 0.000 0.000
0.500 0.500 0.000
```

SG   P4/mbm, No. 127
Energy above the most stable polymorph in this dataset   0.00 kcal/mol of atoms
Energy relative to the elements   -0.558 eV per atom

Below is crystalline Tl3CuTe2S6 at its relaxed geometry, with properties calculated at the PBE level.

Structure (POSCAR):
```
Tl3CuTe2S6
1.0
-6.175 -1.354 -2.589
1.669 -2.070 6.292
-1.069 7.441 1.545
Te Tl S Cu
2 3 6 1
direct
0.666 0.334 0.000
0.334 0.666 0.000
0.500 0.500 0.500
0.834 0.166 0.500
0.166 0.834 0.500
0.066 0.393 0.200
0.750 0.750 0.177
0.607 0.934 0.800
0.250 0.250 0.823
0.934 0.607 0.800
0.393 0.066 0.200
0.000 0.000 0.000
```

Raw formation energy   -0.100 eV per atom
SG   C2/m, No. 12

Below is crystalline Ni2RuBr at its relaxed geometry, with properties calculated at the PBE level.

Structure (POSCAR):
```
Ni2RuBr
1.0
-3.992 6.383 -2.725
-4.492 4.489 -4.875
-6.163 4.461 -2.494
Br Ni Ru
1 2 1
direct
0.747 0.747 0.747
0.997 0.997 0.997
0.252 0.252 0.252
0.505 0.505 0.505
```

Raw formation energy   0.641 eV per atom
SG   R3m, No. 160
Energy above the most stable polymorph in this dataset   3.61 kcal/mol of atoms

Below is crystalline ZrAgSe2Br at its relaxed geometry, with properties calculated at the PBE level.

Structure (POSCAR):
```
ZrAgSe2Br
1.0
-0.927 5.011 -0.037
-0.564 -0.067 5.064
4.881 0.907 0.556
Se Ag Zr Br
2 1 1 1
direct
0.500 0.000 0.000
0.000 0.500 0.000
0.000 0.000 0.000
0.500 0.500 0.500
0.000 0.000 0.500
```

Raw formation energy   0.337 eV per atom
SG   P4/mmm, No. 123
Energy above the most stable polymorph in this dataset   18.53 kcal/mol of atoms

Below is crystalline SrIn2W at its relaxed geometry, with properties calculated at the PBE level.

Structure (POSCAR):
```
SrIn2W
1.0
-3.735 2.726 1.212
0.294 -1.596 4.497
2.617 3.163 0.951
In W Sr
2 1 1
direct
0.500 0.500 0.000
0.000 0.000 0.000
0.000 0.500 0.500
0.500 0.000 0.500
```

SG   P4/mmm, No. 123
Energy above the most stable polymorph in this dataset   8.56 kcal/mol of atoms
Energy relative to the elements   0.734 eV per atom

Below is crystalline TaNbSi2Os at its relaxed geometry, with properties calculated at the PBE level.

Structure (POSCAR):
```
TaNbSi2Os
1.0
4.483 0.000 0.000
0.000 5.047 0.000
0.000 0.000 4.483
Si Ta Os Nb
2 1 1 1
direct
0.500 0.000 0.000
0.000 0.000 0.500
0.000 0.500 0.000
0.000 0.000 0.000
0.500 0.500 0.500
```

Raw formation energy   0.972 eV per atom
SG   P4/mmm, No. 123

Below is crystalline PrEu2Ag at its relaxed geometry, with properties calculated at the PBE level.

Structure (POSCAR):
```
PrEu2Ag
1.0
3.790 0.000 0.000
0.000 3.790 0.000
0.000 0.000 9.257
Eu Pr Ag
2 1 1
direct
0.000 0.000 0.797
0.000 0.000 0.203
0.500 0.500 0.500
0.500 0.500 0.000
```

SG   P4/mmm, No. 123
Energy above the most stable polymorph in this dataset   0.00 kcal/mol of atoms
Energy relative to the elements   -0.098 eV per atom

Below is crystalline Cs2ZrAgIr at its relaxed geometry, with properties calculated at the PBE level.

Structure (POSCAR):
```
Cs2ZrAgIr
1.0
-2.715 -4.979 4.143
3.927 0.242 2.864
-3.136 4.941 3.883
Zr Ir Ag Cs
1 1 1 2
direct
0.000 0.500 0.000
0.000 0.000 0.000
0.500 0.500 0.500
0.000 0.000 0.500
0.500 0.000 0.000
```

SG   P4/mmm, No. 123
Energy relative to the elements   0.739 eV per atom

Below is crystalline Zr3Ir2Rh2 at its relaxed geometry, with properties calculated at the PBE level.

Structure (POSCAR):
```
Zr3Ir2Rh2
1.0
4.333 0.011 -1.707
-2.322 3.832 0.000
-0.907 -0.546 8.250
Zr Rh Ir
3 2 2
direct
0.632 0.815 0.284
0.368 0.185 0.716
0.000 0.000 0.000
0.353 0.176 0.382
0.647 0.824 0.618
0.797 0.398 0.125
0.203 0.602 0.875
```

SG   P-1, No. 2
Energy relative to the elements   -0.680 eV per atom

Below is crystalline PaCdAgAu at its relaxed geometry, with properties calculated at the PBE level.

Structure (POSCAR):
```
PaCdAgAu
1.0
-0.961 4.762 1.019
-1.564 1.303 4.527
3.001 2.546 3.026
Au Ag Cd Pa
1 1 1 1
direct
0.500 0.500 0.500
0.000 0.000 0.000
0.750 0.750 0.750
0.250 0.250 0.250
```

SG   F-43m, No. 216
Energy relative to the elements   -0.129 eV per atom

Below is crystalline LaNCl2 at its relaxed geometry, with properties calculated at the PBE level.

Structure (POSCAR):
```
LaNCl2
1.0
2.615 0.000 10.135
-1.308 2.265 10.135
-1.308 -2.265 10.135
Cl La N
2 1 1
direct
0.084 0.084 0.084
0.916 0.916 0.916
0.000 0.000 0.000
0.500 0.500 0.500
```

Raw formation energy   0.333 eV per atom
SG   R-3m, No. 166
Energy above the most stable polymorph in this dataset   21.33 kcal/mol of atoms

Below is crystalline NaPtW at its relaxed geometry, with properties calculated at the PBE level.

Structure (POSCAR):
```
NaPtW
1.0
2.714 0.000 0.000
0.000 4.056 0.000
0.000 0.000 11.032
Pt Na W
2 2 2
direct
0.000 0.000 0.946
0.500 0.500 0.446
0.000 0.000 0.250
0.500 0.500 0.750
0.500 0.500 0.035
0.000 0.000 0.535
```

SG   Imm2, No. 44
Energy above the most stable polymorph in this dataset   11.65 kcal/mol of atoms
Energy relative to the elements   0.426 eV per atom

Below is crystalline K2HoReN4 at its relaxed geometry, with properties calculated at the PBE level.

Structure (POSCAR):
```
K2HoReN4
1.0
5.951 0.001 -0.003
-0.001 5.951 -0.003
-2.973 -2.974 4.499
N K Re Ho
4 2 1 1
direct
0.983 0.069 0.702
0.839 0.489 0.242
0.402 0.752 0.242
0.719 0.633 0.702
0.236 0.236 0.472
0.486 0.986 0.972
0.736 0.736 0.472
0.986 0.486 0.972
```

Raw formation energy   -0.651 eV per atom
SG   I-4, No. 82

Below is crystalline RbBrO at its relaxed geometry, with properties calculated at the PBE level.

Structure (POSCAR):
```
RbBrO
1.0
4.186 -1.013 -0.047
1.021 4.188 0.521
0.878 0.767 9.319
O Rb Br
2 2 2
direct
0.084 0.506 0.363
0.628 0.145 0.070
0.587 0.001 0.373
0.126 0.650 0.060
0.066 0.409 0.565
0.647 0.241 0.868
```

Raw formation energy   -0.883 eV per atom
SG   P-1, No. 2

Below is crystalline InHgPbCl at its relaxed geometry, with properties calculated at the PBE level.

Structure (POSCAR):
```
InHgPbCl
1.0
5.342 0.000 0.000
2.671 4.626 0.000
2.671 1.542 4.362
Cl In Pb Hg
1 1 1 1
direct
0.750 0.750 0.750
0.000 0.000 0.000
0.500 0.500 0.500
0.250 0.250 0.250
```

Raw formation energy   -0.176 eV per atom
SG   F-43m, No. 216

Below is crystalline LaZr2Au at its relaxed geometry, with properties calculated at the PBE level.

Structure (POSCAR):
```
LaZr2Au
1.0
6.214 0.177 0.577
5.229 3.362 0.577
2.421 0.749 5.203
La Zr Au
1 2 1
direct
0.217 0.217 0.218
0.783 0.783 0.630
0.018 0.018 0.013
0.483 0.483 0.639
```

SG   Cm, No. 8
Energy above the most stable polymorph in this dataset   3.42 kcal/mol of atoms
Energy relative to the elements   -0.136 eV per atom

Below is crystalline MgBeSn2Ir at its relaxed geometry, with properties calculated at the PBE level.

Structure (POSCAR):
```
MgBeSn2Ir
1.0
-2.149 1.305 4.516
-2.958 -4.235 -0.184
3.101 -2.258 2.128
Mg Ir Be Sn
1 1 1 2
direct
0.500 0.500 0.500
0.000 0.000 0.000
0.000 0.000 0.500
0.000 0.500 0.000
0.500 0.000 0.000
```

SG   P4/mmm, No. 123
Energy relative to the elements   0.177 eV per atom

Below is crystalline Ba3Pm at its relaxed geometry, with properties calculated at the PBE level.

Structure (POSCAR):
```
Ba3Pm
1.0
7.210 -0.093 0.000
2.380 6.807 0.000
-4.795 -3.357 4.211
Ba Pm
3 1
direct
0.750 0.250 0.500
0.250 0.750 0.500
0.500 0.500 0.000
0.000 0.000 0.000
```

SG   I4/mmm, No. 139
Energy above the most stable polymorph in this dataset   0.32 kcal/mol of atoms
Energy relative to the elements   0.202 eV per atom

Below is crystalline Pm2Si4RuRh3 at its relaxed geometry, with properties calculated at the PBE level.

Structure (POSCAR):
```
Pm2Si4RuRh3
1.0
-2.680 1.425 -2.926
-1.255 -3.949 -0.775
-6.876 0.866 6.720
Si Rh Pm Ru
4 3 2 1
direct
0.000 0.500 0.376
0.000 0.000 0.000
0.500 0.000 0.624
0.500 0.500 0.000
0.000 0.500 0.125
0.500 0.000 0.875
0.000 0.000 0.500
0.000 0.500 0.752
0.500 0.000 0.248
0.500 0.500 0.500
```

Raw formation energy   -1.007 eV per atom
SG   P-4m2, No. 115

Below is crystalline Cd2PW at its relaxed geometry, with properties calculated at the PBE level.

Structure (POSCAR):
```
Cd2PW
1.0
5.124 0.000 0.000
0.000 5.124 0.000
0.000 0.000 2.860
W P Cd
1 1 2
direct
0.000 0.500 0.500
0.500 0.000 0.500
0.500 0.500 0.000
0.000 0.000 0.000
```

SG   P4/mmm, No. 123
Energy above the most stable polymorph in this dataset   17.38 kcal/mol of atoms
Energy relative to the elements   0.874 eV per atom

Below is crystalline ScReAg3 at its relaxed geometry, with properties calculated at the PBE level.

Structure (POSCAR):
```
ScReAg3
1.0
-1.007 -4.760 1.085
2.469 -1.452 -4.080
4.212 -0.287 2.651
Sc Ag Re
1 3 1
direct
0.500 0.500 0.500
0.500 0.000 0.000
0.000 0.000 0.500
0.000 0.500 0.000
0.000 0.000 0.000
```

SG   Pm-3m, No. 221
Energy above the most stable polymorph in this dataset   0.00 kcal/mol of atoms
Energy relative to the elements   1.328 eV per atom

The records above yield spin magnetization values of 0.12; 0.00; 0.00; 0.12; 6.91; 0.00; 0.00; 0.00; 0.00; 1.09; 1.12; 0.52; 1.84; 14.78; 0.00; 0.00; 0.00; 3.57; 0.00; 0.00; 0.00; 0.00; 0.00; 0.00; 0.00; 0.00; 0.00; 0.00 μB/cell, respectively.